# 1
# Te2OsPd

Crystalline Te2OsPd at its relaxed geometry (PBE-GGA, Alexandria via LeMat-Bulk).

a b c (Å): 5.9970 5.9970 11.9491
angles (deg): 90.00 90.00 90.00
Atoms (fractional coordinates):
Te (0.2358, 0.2500, 0.1250)
Te (0.2500, 0.7358, 0.3750)
Te (0.2500, 0.7642, 0.8750)
Te (0.2642, 0.2500, 0.6250)
Te (0.7358, 0.7500, 0.6250)
Te (0.7500, 0.2358, 0.8750)
Te (0.7500, 0.2642, 0.3750)
Te (0.7642, 0.7500, 0.1250)
Os (0.0000, 0.0000, 0.0000)
Os (0.0000, 0.5000, 0.2500)
Os (0.5000, 0.0000, 0.7500)
Os (0.5000, 0.5000, 0.5000)
Pd (0.0000, 0.0000, 0.5000)
Pd (0.0000, 0.5000, 0.7500)
Pd (0.5000, 0.0000, 0.2500)
Pd (0.5000, 0.5000, 0.0000)

**Symmetry**: I-42d
**V**: 26.9 A^3/atom
**Total magnetization**: 0.0 μB/f.u.
**Energy relative to the elements, uncorrected**: 24.9 kJ/mol of atoms
**Polymorph energy (0 for the lowest one)**: 0 meV/atom



# 2
# Te2OsPd2

Crystalline Te2OsPd2 at its relaxed geometry (PBE-GGA, Alexandria via LeMat-Bulk).

a b c (Å): 7.1965 7.1965 3.7816
angles (deg): 90.00 90.00 90.00
Atoms (fractional coordinates):
Te (0.1661, 0.3339, 0.0000)
Te (0.3339, 0.8339, 0.0000)
Te (0.6661, 0.1661, 0.0000)
Te (0.8339, 0.6661, 0.0000)
Os (0.0000, 0.0000, 0.0000)
Os (0.5000, 0.5000, 0.0000)
Pd (0.1389, 0.6389, 0.5000)
Pd (0.3611, 0.1389, 0.5000)
Pd (0.6389, 0.8611, 0.5000)
Pd (0.8611, 0.3611, 0.5000)

**Symmetry**: P4/mbm
**V**: 19.6 A^3/atom
**Total magnetization**: 0.0 μB/f.u.
**Energy relative to the elements, uncorrected**: 37.7 kJ/mol of atoms